# 1
AlTc2Pd2, relaxed, DFT PBE; D(E_F) = 7.4 states/eV/f.u.; ρ = 9.12 g/cm³; symmetry = P4/mbm (127); DFT formation energy = 0.20 eV/atom
1.0
6.170 0.000 0.000
0.000 6.170 0.000
0.000 0.000 4.171
Al Tc Pd
2 4 4
Cartesian
0.000 0.000 0.000
3.085 3.085 0.000
2.205 0.879 2.086
5.290 2.205 2.086
3.964 5.290 2.086
0.879 3.964 2.086
0.921 2.164 0.000
2.164 5.249 0.000
4.006 0.921 0.000
5.249 4.006 0.000



# 2
BaZn, relaxed, DFT PBE; D(E_F) = 2.4 states/eV/f.u.; ρ = 4.31 g/cm³; symmetry = P4_2/mnm (136); DFT formation energy = -0.01 eV/atom
1.0
6.780 0.000 0.000
0.000 6.780 0.000
0.000 0.000 6.793
Zn Ba
4 4
Cartesian
2.270 4.510 0.000
4.510 2.270 0.000
1.120 1.120 3.396
5.660 5.660 3.396
5.429 5.429 0.000
1.351 1.351 0.000
2.039 4.741 3.396
4.741 2.039 3.396



# 3
YPb2, relaxed, DFT PBE; D(E_F) = 1.9 states/eV/f.u.; ρ = 9.65 g/cm³; symmetry = Cmcm (63); DFT formation energy = -0.39 eV/atom
1.0
4.531 0.000 0.000
0.000 4.599 0.001
0.000 -2.295 8.311
Y Pb
2 4
Cartesian
1.133 2.302 6.732
3.398 0.002 1.580
1.133 0.003 4.178
3.398 0.004 7.172
3.398 2.301 4.134
1.133 2.300 1.141



# 4
NaDy2Y3Se6, relaxed, DFT PBE; total energy = -71.82 eV for the cell shown; D(E_F) = 4.0 states/eV/f.u.; ρ = 6.19 g/cm³; symmetry = C2/m (12)
1.0
-2.939 -2.693 0.875
4.912 -6.144 -2.413
3.314 2.163 8.268
Se Na Y Dy
6 1 3 2
Cartesian
2.008 -4.662 1.911
3.279 -2.012 4.820
4.038 -5.125 7.303
1.249 -1.549 -0.572
5.722 -5.085 3.565
-0.435 -1.589 3.166
-1.469 -1.347 0.438
0.627 -1.869 5.867
4.660 -4.804 0.864
0.987 -4.418 -0.769
2.301 -1.824 2.114
2.986 -4.849 4.617



# 5
Sc4Tl3, relaxed, DFT PBE; D(E_F) = 10.7 states/eV/f.u.; ρ = 7.72 g/cm³; symmetry = P6/mmm (191); DFT formation energy = -0.01 eV/atom
1.0
-2.540 5.239 -1.510
-1.339 -4.990 -3.080
-4.115 -1.009 3.423
Sc Tl
4 3
Cartesian
-3.088 -0.757 2.568
-3.797 -2.085 -0.845
-4.197 1.325 -0.322
-1.028 -0.252 0.855
-0.669 -2.495 -1.540
-1.940 0.125 -2.295
-1.270 2.619 -0.755



# 6
ScCuSnIr, relaxed, DFT PBE; D(E_F) = 2.9 states/eV/f.u.; ρ = 10.25 g/cm³; symmetry = F-43m (216); DFT formation energy = -0.51 eV/atom
1.0
4.580 0.000 0.000
2.290 3.966 0.000
2.290 1.322 3.739
Sc Cu Sn Ir
1 1 1 1
Cartesian
6.870 3.966 2.805
4.580 2.644 1.870
2.290 1.322 0.935
0.000 0.000 0.000



# 7
Cs2Dy2PaS6, relaxed, DFT PBE; total energy = -65.11 eV for the cell shown; D(E_F) = 2.1 states/eV/f.u.; ρ = 4.78 g/cm³; symmetry = C2/m (12)
1.0
-4.404 -1.457 5.266
5.320 -4.350 -1.422
4.525 6.187 3.902
S Cs Pa Dy
6 2 1 2
Cartesian
3.779 -2.984 3.135
4.877 2.408 2.399
3.734 -0.059 5.454
0.564 -2.027 5.347
1.707 0.439 2.292
1.662 3.364 4.611
-2.767 -1.944 4.140
3.683 -3.863 -0.296
2.262 3.093 1.951
4.339 -0.291 2.760
1.102 0.672 4.986



# 8
Be2TcHg, relaxed, DFT PBE; D(E_F) = 1.5 states/eV/f.u.; ρ = 9.33 g/cm³; symmetry = C2/m (12); DFT formation energy = 0.35 eV/atom
1.0
-4.237 0.729 -0.013
-3.758 -1.616 -1.323
-1.128 -2.606 4.250
Tc Be Hg
1 2 1
Cartesian
-2.281 -0.873 0.729
-7.993 -1.086 -0.980
-4.564 -1.548 1.100
-6.842 -2.620 2.186



# 9
SnSb2Pd4, relaxed, DFT PBE; total energy = -70.79 eV for the cell shown; D(E_F) = 4.0 states/eV/f.u.; ρ = 9.67 g/cm³; symmetry = Cmcm (63)
1.0
-2.898 1.426 -2.335
1.474 -4.405 -1.118
-10.734 -6.038 9.635
Sb Pd Sn
4 8 2
Cartesian
-0.792 -1.889 -0.171
-4.556 -4.006 3.208
-7.603 -5.011 2.973
-11.367 -7.128 6.352
-9.153 -5.853 7.785
-5.220 -4.410 0.383
-3.006 -3.164 -1.604
-2.673 -3.139 1.400
-6.939 -4.607 5.798
-9.486 -5.878 4.781
-1.449 0.713 -1.168
-6.816 -2.306 3.650
-8.027 -8.033 5.056
-4.132 -0.984 1.125



# 10
CrMo2Pb, relaxed, DFT PBE; D(E_F) = 4.0 states/eV/f.u.; ρ = 9.98 g/cm³; symmetry = I-42d (122); DFT formation energy = 0.98 eV/atom
1.0
-3.303 0.705 -1.881
-1.598 -3.115 1.639
-5.614 4.456 7.552
Mo Cr Pb
4 2 2
Cartesian
-3.563 1.143 0.976
-6.099 2.340 5.625
-2.920 -0.722 2.618
-8.448 1.332 5.400
-4.831 0.068 4.535
-2.451 -1.205 -0.121
-5.683 1.978 2.775
0.000 0.000 0.000



# 11
AgSnO3, relaxed, DFT PBE; total energy = -25.10 eV for the cell shown; D(E_F) = 3.1 states/eV/f.u.; ρ = 6.51 g/cm³; symmetry = R3m (160)
1.0
-1.864 3.375 -1.463
-2.855 -2.263 -1.932
-2.521 0.172 3.259
O Ag Sn
3 1 1
Cartesian
-2.379 2.010 -0.790
-2.896 -0.931 -1.034
-2.722 0.339 1.674
-5.778 1.024 -0.108
-1.609 0.285 -0.030



# 12
Ba2PmRh3O12, relaxed, DFT PBE; total energy = -114.77 eV for the cell shown; D(E_F) = 13.0 states/eV/f.u.; ρ = 6.01 g/cm³; symmetry = R-3m (166)
1.0
-5.936 3.502 -0.473
-2.514 0.834 -6.381
-5.597 -3.740 -1.553
O Rh Ba Pm
12 3 2 1
Cartesian
-4.471 1.565 -1.373
-9.576 -0.970 -7.034
-4.328 -1.500 -1.830
-9.719 2.095 -6.577
-7.150 -2.118 -3.185
-6.691 -1.695 -5.879
-8.774 -0.071 -2.283
-11.024 0.159 -4.534
-7.356 2.290 -2.528
-3.023 0.436 -3.873
-6.897 2.714 -5.221
-5.273 0.666 -6.124
-2.798 -1.870 -0.776
-1.257 0.417 -3.190
-2.968 1.751 -0.236
-8.530 0.362 -5.105
-5.517 0.234 -3.302
0.000 0.000 0.000



# 13
RuW2CI, relaxed, DFT PBE; total energy = -40.95 eV for the cell shown; D(E_F) = 4.7 states/eV/f.u.; ρ = 13.21 g/cm³; symmetry = P4/mmm (123)
1.0
4.288 0.000 0.000
0.000 4.153 0.000
0.000 0.000 4.288
C Ru I W
1 1 1 2
Cartesian
0.000 0.000 0.000
0.000 2.076 0.000
2.144 2.076 2.144
0.000 0.000 2.144
2.144 0.000 0.000